## Ho5In4Au (PBE)

Data for a geometry-optimized Ho5In4Au structure.

Computed properties:
space-group type	P4/mmm

a = 3.5692 Å, b = 3.5692 Å, c = 20.1672 Å
α = 90.00°, β = 90.00°, γ = 90.00°
Closest atoms and distances in Å follow each position.
Atoms (fractional coordinates):
In1 0.0000 0.0000 0.3970  8 Ho 3.27, 4 In 3.57
In2 0.0000 0.0000 0.1915  8 Ho 3.26-3.28, 4 In 3.57
In3 0.0000 0.0000 0.6030  8 Ho 3.27, 4 In 3.57
In4 0.0000 0.0000 0.8085  8 Ho 3.26-3.28, 4 In 3.57
Ho1 0.5000 0.5000 0.9121  4 Au 3.08, 4 In 3.28
Ho2 0.5000 0.5000 0.0879  4 Au 3.08, 4 In 3.28
Ho3 0.5000 0.5000 0.2936  8 In 3.26-3.27, 4 Ho 3.57
Ho4 0.5000 0.5000 0.5000  8 In 3.27, 4 Ho 3.57
Ho5 0.5000 0.5000 0.7064  8 In 3.26-3.27, 4 Ho 3.57
Au1 0.0000 0.0000 0.0000  8 Ho 3.08



## HoIn2Au (PBE)

Data for a geometry-optimized HoIn2Au structure.

Computed properties:
space-group type	P4/mmm

a = 4.5401 Å, b = 4.4890 Å, c = 4.4890 Å
α = 90.00°, β = 90.00°, γ = 90.00°
Closest atoms and distances in Å follow each position.
Atoms (fractional coordinates):
In1 0.0000 0.0000 0.5000  4 In 3.17, 4 Ho 3.19, 4 Au 3.19
In2 0.0000 0.5000 0.0000  4 In 3.17, 4 Ho 3.19, 4 Au 3.19
Ho1 0.5000 0.5000 0.5000  4 Au 3.17, 8 In 3.19
Au1 0.5000 0.0000 0.0000  4 Ho 3.17, 8 In 3.19



## Ho12InAu6 (PBE)

Data for a geometry-optimized Ho12InAu6 structure.

Computed properties:
space-group type	R-3

a = 8.5449 Å, b = 8.5449 Å, c = 8.5449 Å
α = 101.59°, β = 101.59°, γ = 101.59°
Closest atoms and distances in Å follow each position.
Atoms (fractional coordinates):
Ho1 0.4300 0.8226 0.5734  4 Au 2.93-3.08
Ho2 0.9357 0.0814 0.6705  2 Au 2.83-2.86, 1 In 3.01
Ho3 0.5700 0.1774 0.4266  4 Au 2.93-3.08
Ho4 0.0643 0.9186 0.3295  2 Au 2.83-2.86, 1 In 3.01
Ho5 0.6705 0.9357 0.0814  2 Au 2.83-2.86, 1 In 3.01
Ho6 0.3295 0.0643 0.9186  2 Au 2.83-2.86, 1 In 3.01
Ho7 0.1774 0.4266 0.5700  4 Au 2.93-3.08
Ho8 0.0814 0.6705 0.9357  2 Au 2.83-2.86, 1 In 3.01
Ho9 0.4266 0.5700 0.1774  4 Au 2.93-3.08
Ho10 0.5734 0.4300 0.8226  4 Au 2.93-3.08
Ho11 0.8226 0.5734 0.4300  4 Au 2.93-3.08
Ho12 0.9186 0.3295 0.0643  2 Au 2.83-2.86, 1 In 3.01
Au1 0.3919 0.6937 0.8603  6 Ho 2.83-3.08
Au2 0.6081 0.3063 0.1397  6 Ho 2.83-3.08
Au3 0.6937 0.8603 0.3919  6 Ho 2.83-3.08
Au4 0.8603 0.3919 0.6937  6 Ho 2.83-3.08
Au5 0.3063 0.1397 0.6081  6 Ho 2.83-3.08
Au6 0.1397 0.6081 0.3063  6 Ho 2.83-3.08
In1 0.0000 0.0000 0.0000  6 Ho 3.01



## Ho11In9Au4 (PBE)

Data for a geometry-optimized Ho11In9Au4 structure.

Computed properties:
space-group type	Cmmm

a = 3.7048 Å, b = 13.2877 Å, c = 13.2877 Å
α = 112.95°, β = 90.00°, γ = 90.00°
Closest atoms and distances in Å follow each position.
Atoms (fractional coordinates):
Ho1 0.0000 0.8396 0.1604  8 In 3.28-3.38, 3 Ho 3.53-3.55
Ho2 0.0000 0.6968 0.6968  4 Au 2.97
Ho3 0.0000 0.3032 0.3032  4 Au 2.97
Ho4 0.0000 0.0674 0.4126  2 Au 2.92, 2 In 3.23
Ho5 0.0000 0.9326 0.5874  2 Au 2.92, 2 In 3.23
Ho6 0.0000 0.0000 0.0000  8 In 3.21, 2 Ho 3.55
Ho7 0.0000 0.3698 0.6302  4 Au 2.97
Ho8 0.0000 0.6302 0.3698  4 Au 2.97
Ho9 0.0000 0.1604 0.8396  8 In 3.28-3.38, 3 Ho 3.53-3.55
Ho10 0.0000 0.4126 0.0674  2 Au 2.92, 2 In 3.23
Ho11 0.0000 0.5874 0.9326  2 Au 2.92, 2 In 3.23
In1 0.5000 0.2132 0.0670  1 Au 3.12, 8 Ho 3.21-3.43, 1 In 3.24
In2 0.5000 0.8455 0.3664  1 In 3.11, 1 Au 3.16, 8 Ho 3.28-3.42
In3 0.5000 0.6336 0.1545  1 In 3.11, 1 Au 3.16, 8 Ho 3.28-3.42
In4 0.5000 0.7868 0.9330  1 Au 3.12, 8 Ho 3.21-3.43, 1 In 3.24
In5 0.5000 0.3664 0.8455  1 In 3.11, 1 Au 3.16, 8 Ho 3.28-3.42
In6 0.5000 0.9330 0.7868  1 Au 3.12, 8 Ho 3.21-3.43, 1 In 3.24
In7 0.5000 0.0670 0.2132  1 Au 3.12, 8 Ho 3.21-3.43, 1 In 3.24
In8 0.5000 0.1545 0.6336  1 In 3.11, 1 Au 3.16, 8 Ho 3.28-3.42
In9 0.5000 0.5000 0.5000  4 Au 3.14, 8 Ho 3.43
Au1 0.5000 0.2483 0.4487  6 Ho 2.92-2.97, 3 In 3.12-3.16
Au2 0.5000 0.7517 0.5513  6 Ho 2.92-2.97, 3 In 3.12-3.16
Au3 0.5000 0.4487 0.2483  6 Ho 2.92-2.97, 3 In 3.12-3.16
Au4 0.5000 0.5513 0.7517  6 Ho 2.92-2.97, 3 In 3.12-3.16



V (Å³/atom)
25.7, 22.9, 30.5, 25.1
E_form (eV per atom)
-0.55, -0.49, -0.39, -0.63
Spin magnetization (μB/cell)
0.00, 0.00, 0.00, 0.00